No. 1
First-principles (meta-GGA SCAN) data for a crystal of NiRh2Au relaxed with PBEsol, as listed in Alexandria.

Lattice parameters (Å, degrees): 2.7228 2.7228 7.3377 90.00 90.00 90.00
Last column: nearest neighbours and their distance in Å.
Atoms (fractional coordinates):
Ni (0.0000, 0.0000, 0.0000)  8 Rh 2.51, 4 Ni 2.72
Rh (0.5000, 0.5000, 0.2195)  4 Ni 2.51, 4 Rh 2.72
Rh (0.5000, 0.5000, 0.7805)  4 Ni 2.51, 4 Rh 2.72
Au (0.0000, 0.0000, 0.5000)  4 Au 2.72, 8 Rh 2.82

## Properties
- V (Å³ per cell) = 54
- total magnetic moment (μB per formula unit) = 0.00
- excess energy over the best structure of this formula in the dataset (meV per atom) = 52
- formation enthalpy at 0 K (meV per atom) = 139
- E_tot (eV for the cell shown) = -152.32



No. 2
First-principles (meta-GGA SCAN) data for a crystal of PrAs2Au relaxed with PBEsol, as listed in Alexandria.

Lattice parameters (Å, degrees): 5.8012 20.3701 5.7602 90.00 90.00 90.00
Last column: nearest neighbours and their distance in Å.
Atoms (fractional coordinates):
Pr (0.0143, 0.1166, 0.2500)  8 As 3.01-3.22
Pr (0.0143, 0.3834, 0.7500)  8 As 3.01-3.22
Pr (0.4847, 0.6200, 0.7500)  8 As 3.00-3.18, 4 Au 3.34-3.35
Pr (0.4847, 0.8800, 0.2500)  8 As 3.00-3.18, 4 Au 3.34-3.35
Pr (0.5153, 0.1200, 0.7500)  8 As 3.00-3.18, 4 Au 3.34-3.35
Pr (0.5153, 0.3800, 0.2500)  8 As 3.00-3.18, 4 Au 3.34-3.35
Pr (0.9857, 0.6166, 0.2500)  8 As 3.01-3.22
Pr (0.9857, 0.8834, 0.7500)  8 As 3.01-3.22
As (0.0152, 0.1601, 0.7500)  4 Au 2.73-2.75, 4 Pr 3.01
As (0.0152, 0.3399, 0.2500)  4 Au 2.73-2.75, 4 Pr 3.01
As (0.2722, 0.0006, 0.5265)  2 As 2.57-2.66
As (0.2722, 0.0006, 0.9735)  2 As 2.57-2.66
As (0.2722, 0.4994, 0.0265)  2 As 2.57-2.66
As (0.2722, 0.4994, 0.4735)  2 As 2.57-2.66
As (0.4851, 0.6613, 0.2500)  4 Au 2.73-2.74, 4 Pr 3.00-3.04
As (0.4851, 0.8387, 0.7500)  4 Au 2.73-2.74, 4 Pr 3.00-3.04
As (0.5149, 0.1613, 0.2500)  4 Au 2.73-2.74, 4 Pr 3.00-3.04
As (0.5149, 0.3387, 0.7500)  4 Au 2.73-2.74, 4 Pr 3.00-3.04
As (0.7278, 0.5006, 0.5265)  2 As 2.57-2.66
As (0.7278, 0.5006, 0.9735)  2 As 2.57-2.66
As (0.7278, 0.9994, 0.0265)  2 As 2.57-2.66
As (0.7278, 0.9994, 0.4735)  2 As 2.57-2.66
As (0.9848, 0.6601, 0.7500)  4 Au 2.73-2.75, 4 Pr 3.01
As (0.9848, 0.8399, 0.2500)  4 Au 2.73-2.75, 4 Pr 3.01
Au (0.2314, 0.7500, 0.0000)  4 As 2.73-2.74, 4 Au 2.88-2.92
Au (0.2314, 0.7500, 0.5000)  4 As 2.73-2.74, 4 Au 2.88-2.92
Au (0.2658, 0.2500, 0.0000)  4 As 2.73-2.75, 4 Au 2.88-2.92
Au (0.2658, 0.2500, 0.5000)  4 As 2.73-2.75, 4 Au 2.88-2.92
Au (0.7342, 0.7500, 0.0000)  4 As 2.73-2.75, 4 Au 2.88-2.92
Au (0.7342, 0.7500, 0.5000)  4 As 2.73-2.75, 4 Au 2.88-2.92
Au (0.7686, 0.2500, 0.0000)  4 As 2.73-2.74, 4 Au 2.88-2.92
Au (0.7686, 0.2500, 0.5000)  4 As 2.73-2.74, 4 Au 2.88-2.92

## Properties
- V (Å³ per cell) = 681
- total magnetic moment (μB per formula unit) = 0.00
- formation enthalpy at 0 K (meV per atom) = -887
- E_tot (eV for the cell shown) = -1251.31



No. 3
First-principles (meta-GGA SCAN) data for a crystal of ReNi6Pt relaxed with PBEsol, as listed in Alexandria.

Lattice parameters (Å, degrees): 6.1955 6.1955 10.1320 90.00 90.00 109.30
Last column: nearest neighbours and their distance in Å.
Atoms (fractional coordinates):
Re (0.0000, 0.0000, 0.2441)  12 Ni 2.45-2.59
Re (0.0000, 0.0000, 0.7559)  12 Ni 2.45-2.59
Re (0.2483, 0.7517, 0.5000)  12 Ni 2.47-2.54
Re (0.7517, 0.2483, 0.5000)  12 Ni 2.47-2.54
Ni (0.0000, 0.0000, 0.0000)  2 Re 2.47, 8 Ni 2.51, 2 Pt 2.56
Ni (0.0000, 0.0000, 0.5000)  8 Ni 2.50, 4 Re 2.51-2.59
Ni (0.1200, 0.3678, 0.1281)  1 Re 2.45, 8 Ni 2.50-2.60, 3 Pt 2.54-2.57
Ni (0.1200, 0.3678, 0.8719)  1 Re 2.45, 8 Ni 2.50-2.60, 3 Pt 2.54-2.57
Ni (0.1195, 0.3721, 0.3783)  8 Ni 2.47-2.55, 3 Re 2.48-2.57, 1 Pt 2.58
Ni (0.1195, 0.3721, 0.6217)  8 Ni 2.47-2.55, 3 Re 2.48-2.57, 1 Pt 2.58
Ni (0.2469, 0.7531, 0.2561)  2 Re 2.47-2.50, 8 Ni 2.47-2.60, 2 Pt 2.56-2.60
Ni (0.2469, 0.7531, 0.7439)  2 Re 2.47-2.50, 8 Ni 2.47-2.60, 2 Pt 2.56-2.60
Ni (0.3678, 0.1200, 0.1281)  1 Re 2.45, 8 Ni 2.50-2.60, 3 Pt 2.54-2.57
Ni (0.3678, 0.1200, 0.8719)  1 Re 2.45, 8 Ni 2.50-2.60, 3 Pt 2.54-2.57
Ni (0.3721, 0.1195, 0.3783)  8 Ni 2.47-2.55, 3 Re 2.48-2.57, 1 Pt 2.58
Ni (0.3721, 0.1195, 0.6217)  8 Ni 2.47-2.55, 3 Re 2.48-2.57, 1 Pt 2.58
Ni (0.5000, 0.5000, 0.0000)  4 Pt 2.50-2.52, 8 Ni 2.57
Ni (0.5000, 0.5000, 0.5000)  2 Pt 2.54, 2 Re 2.54, 8 Ni 2.54
Ni (0.6279, 0.8805, 0.3783)  8 Ni 2.47-2.55, 3 Re 2.48-2.57, 1 Pt 2.58
Ni (0.6279, 0.8805, 0.6217)  8 Ni 2.47-2.55, 3 Re 2.48-2.57, 1 Pt 2.58
Ni (0.6322, 0.8800, 0.1281)  1 Re 2.45, 8 Ni 2.50-2.60, 3 Pt 2.54-2.57
Ni (0.6322, 0.8800, 0.8719)  1 Re 2.45, 8 Ni 2.50-2.60, 3 Pt 2.54-2.57
Ni (0.7531, 0.2469, 0.2561)  2 Re 2.47-2.50, 8 Ni 2.47-2.60, 2 Pt 2.56-2.60
Ni (0.7531, 0.2469, 0.7439)  2 Re 2.47-2.50, 8 Ni 2.47-2.60, 2 Pt 2.56-2.60
Ni (0.8805, 0.6279, 0.3783)  8 Ni 2.47-2.55, 3 Re 2.48-2.57, 1 Pt 2.58
Ni (0.8805, 0.6279, 0.6217)  8 Ni 2.47-2.55, 3 Re 2.48-2.57, 1 Pt 2.58
Ni (0.8800, 0.6322, 0.1281)  1 Re 2.45, 8 Ni 2.50-2.60, 3 Pt 2.54-2.57
Ni (0.8800, 0.6322, 0.8719)  1 Re 2.45, 8 Ni 2.50-2.60, 3 Pt 2.54-2.57
Pt (0.2530, 0.7470, 0.0000)  12 Ni 2.50-2.60
Pt (0.5000, 0.5000, 0.2492)  12 Ni 2.52-2.58
Pt (0.5000, 0.5000, 0.7508)  12 Ni 2.52-2.58
Pt (0.7470, 0.2530, 0.0000)  12 Ni 2.50-2.60

## Properties
- V (Å³ per cell) = 367
- total magnetic moment (μB per formula unit) = 0.00
- formation enthalpy at 0 K (meV per atom) = 44
- E_tot (eV for the cell shown) = -951.91



- Which of these has the highest E_tot?
  NiRh2Au